[1]
Entry from Alexandria via LeMat-Bulk: an optimized crystal structure of Sn3TeAs (PBE-GGA).

Cell and atoms, written as POSCAR:
```
Sn3TeAs
1.0
5.486 0.000 0.000
0.000 5.486 0.000
0.000 0.000 5.486
Sn As Te
3 1 1
Cartesian
0.000 2.743 0.000 Sn
0.000 0.000 2.743 Sn
2.743 0.000 0.000 Sn
0.000 0.000 0.000 As
2.743 2.743 2.743 Te
```

Results
Symmetry   Pm-3m (221)
Energy relative to the lowest polymorph listed for this composition   330 meV per atom



[2]
Entry from Alexandria via LeMat-Bulk: an optimized crystal structure of SnTeAs3 (PBE-GGA).

Cell and atoms, written as POSCAR:
```
SnTeAs3
1.0
5.313 0.000 0.000
0.000 5.313 0.000
0.000 0.000 5.313
As Te Sn
3 1 1
Cartesian
2.656 0.000 0.000 As
0.000 2.656 0.000 As
0.000 0.000 2.656 As
0.000 0.000 0.000 Te
2.656 2.656 2.656 Sn
```

Results
Symmetry   Pm-3m (221)
Energy relative to the lowest polymorph listed for this composition   0 meV per atom



[3]
Entry from Alexandria via LeMat-Bulk: an optimized crystal structure of Sn2Te2As (PBE-GGA).

Cell and atoms, written as POSCAR:
```
Sn2Te2As
1.0
-3.032 5.223 5.551
-0.215 -6.030 5.557
4.086 1.024 1.269
Sn Te As
4 4 2
Cartesian
0.935 1.493 3.411 Sn
1.465 -2.620 5.022 Sn
-0.097 -1.276 8.966 Sn
-0.626 2.837 7.354 Sn
-2.082 2.471 4.709 Te
-1.166 -3.278 6.398 Te
-2.649 0.249 8.330 Te
-0.598 -1.056 2.777 Te
0.000 0.000 0.000 As
-1.624 -0.403 5.554 As
```

Results
Symmetry   P4/mbm (127)
Energy relative to the lowest polymorph listed for this composition   0 meV per atom



[4]
Entry from Alexandria via LeMat-Bulk: an optimized crystal structure of Sn4TeAs2 (PBE-GGA).

Cell and atoms, written as POSCAR:
```
Sn4TeAs2
1.0
6.680 -0.882 -2.659
-2.834 6.929 -3.307
0.622 0.507 8.216
Sn As Te
8 4 2
Cartesian
4.363 3.910 -3.230 Sn
6.171 0.984 -0.779 Sn
4.571 3.252 0.996 Sn
1.734 3.659 -0.671 Sn
2.901 -0.155 0.469 Sn
1.418 1.257 5.155 Sn
1.936 4.665 3.765 Sn
4.732 0.778 3.770 Sn
2.415 2.018 2.468 As
2.769 6.097 -1.894 As
3.404 1.546 -1.851 As
0.015 3.769 5.727 As
4.242 6.176 2.003 Te
-0.018 5.339 1.442 Te
```

Results
Symmetry   P1 (1)



[5]
Entry from Alexandria via LeMat-Bulk: an optimized crystal structure of SnTe3As (PBE-GGA).

Cell and atoms, written as POSCAR:
```
SnTe3As
1.0
-1.580 -0.117 5.215
-4.680 -2.373 -1.471
2.303 -4.905 0.588
Sn As Te
1 1 3
Cartesian
-1.979 -3.698 2.166 Sn
0.000 0.000 0.000 As
-2.340 -1.187 -0.736 Te
-0.790 -0.058 2.607 Te
1.151 -2.452 0.294 Te
```

Results
Symmetry   Pm-3m (221)
Energy relative to the lowest polymorph listed for this composition   392 meV per atom



[6]
Entry from Alexandria via LeMat-Bulk: an optimized crystal structure of SnTe4As2 (PBE-GGA).

Cell and atoms, written as POSCAR:
```
SnTe4As2
1.0
4.180 0.000 0.000
-2.090 6.948 0.000
0.000 0.000 14.562
Sn As Te
2 4 8
Cartesian
0.000 5.889 3.641 Sn
2.090 1.059 10.922 Sn
0.000 1.985 0.803 As
2.090 4.963 8.084 As
2.090 4.963 13.760 As
0.000 1.985 6.479 As
2.090 0.000 7.281 Te
0.000 3.205 12.860 Te
2.090 0.000 0.000 Te
0.000 0.991 3.641 Te
0.000 3.205 8.983 Te
2.090 3.743 1.702 Te
2.090 5.957 10.922 Te
2.090 3.743 5.579 Te
```

Results
Symmetry   Cmcm (63)



[7]
Entry from Alexandria via LeMat-Bulk: an optimized crystal structure of Sn5Te4As (PBE-GGA).

Cell and atoms, written as POSCAR:
```
Sn5Te4As
1.0
6.320 0.000 0.000
3.160 7.001 0.000
3.160 0.000 7.001
Sn Te As
5 4 1
Cartesian
6.312 5.727 4.378 Sn
9.472 2.623 5.727 Sn
6.312 1.274 2.623 Sn
3.152 4.378 1.274 Sn
2.919 0.000 0.000 Sn
9.543 5.557 4.222 Te
6.383 2.780 5.557 Te
6.383 4.222 1.444 Te
3.223 1.444 2.780 Te
0.085 0.000 0.000 As
```

Results
Symmetry   I4 (79)
Energy relative to the lowest polymorph listed for this composition   0 meV per atom



[8]
Entry from Alexandria via LeMat-Bulk: an optimized crystal structure of Th8SnTe4As3 (PBE-GGA).

Cell and atoms, written as POSCAR:
```
Th8SnTe4As3
1.0
-4.349 -7.263 2.094
3.272 -4.043 -7.229
5.496 3.598 5.735
Th Te Sn As
8 4 1 3
Cartesian
2.658 -1.160 1.496 Th
-2.235 -6.483 -0.279 Th
4.573 -4.702 1.882 Th
6.654 -1.225 0.880 Th
-0.153 -3.007 -1.282 Th
0.396 -4.761 2.466 Th
1.762 -6.548 -0.896 Th
4.024 -2.947 -1.866 Th
0.574 -1.833 3.915 Te
0.000 0.000 0.000 Te
2.748 1.799 2.868 Te
-2.174 -3.631 1.047 Te
1.636 -2.022 -3.614 Sn
2.210 -3.854 0.300 As
4.384 -0.223 -0.747 As
-0.538 -5.653 -2.568 As
```

Results
Symmetry   R-3m (166)



One value per record, in order, for uncorrected formation energy: 1.77; 4.29; 0.80; -0.27; 1.54; -0.26; -2.15; -18.05 eV per formula unit.
One value per record, in order, for final energy: -18.03; -16.80; -36.27; -57.45; -16.54; -52.25; -39.38; -107.93 eV per cell.
One value per record, in order, for total magnetization: 0.0; 0.0; 0.0; 0.0; 0.0; 0.0; 0.0; 0.0 μB/f.u..